(1)
This record from Alexandria via LeMat-Bulk describes a relaxed BeTc2W crystal. The functional is PBE.

a = 6.942 Å, b = 6.942 Å, c = 5.440 Å
α = 50.35°, β = 50.35°, γ = 90.00°
Positions (direct):
Be1 0.500 0.500 0.000
Be2 0.250 0.750 0.500
Tc1 0.545 0.125 0.250
Tc2 0.205 0.625 0.250
Tc3 0.375 0.455 0.750
Tc4 0.875 0.795 0.750
W1 0.000 0.000 0.000
W2 0.750 0.250 0.500

Results
Fermi-level density of states in states/eV/atom: 0.863
DFT formation energy in eV/atom: 0.555
Symmetry: I-42d
Density in g cm⁻³: 11.43
Crystal system: tetragonal

***

(2)
This record from Alexandria via LeMat-Bulk describes a relaxed BeTc2W crystal. The functional is PBE.

a = 2.710 Å, b = 2.710 Å, c = 7.934 Å
α = 90.00°, β = 90.00°, γ = 109.69°
Positions (direct):
Be1 0.500 0.500 0.750
Tc1 0.000 0.000 0.975
Tc2 0.000 0.000 0.525
W1 0.500 0.500 0.250

Results
Fermi-level density of states in states/eV/atom: 0.667
DFT formation energy in eV/atom: 0.094
Symmetry: Cmmm
Density in g cm⁻³: 11.77
Crystal system: orthorhombic

***

(3)
This record from Alexandria via LeMat-Bulk describes a relaxed BeTc2W crystal. The functional is PBE.

a = 4.869 Å, b = 4.869 Å, c = 4.398 Å
α = 63.09°, β = 63.09°, γ = 36.96°
Positions (direct):
Be1 0.750 0.750 0.750
Tc1 0.006 0.006 0.994
Tc2 0.494 0.494 0.506
W1 0.250 0.250 0.250

Results
Fermi-level density of states in states/eV/atom: 0.838
DFT formation energy in eV/atom: 0.079
Symmetry: Immm
Density in g cm⁻³: 11.72
Crystal system: orthorhombic

***

(4)
This record from Alexandria via LeMat-Bulk describes a relaxed BeTc2W crystal. The functional is PBE.

a = 3.098 Å, b = 3.098 Å, c = 5.677 Å
α = 90.00°, β = 90.00°, γ = 90.00°
Positions (direct):
Be1 0.500 0.500 0.750
Tc1 0.000 0.000 0.976
Tc2 0.000 0.000 0.524
W1 0.500 0.500 0.250

Results
Fermi-level density of states in states/eV/atom: 0.799
DFT formation energy in eV/atom: -0.057
Symmetry: P4/mmm
Density in g cm⁻³: 11.85
Crystal system: tetragonal

***

(5)
This record from Alexandria via LeMat-Bulk describes a relaxed BeTcW2 crystal. The functional is PBE.

a = 4.726 Å, b = 4.726 Å, c = 2.767 Å
α = 90.00°, β = 90.00°, γ = 110.97°
Positions (direct):
Be1 0.500 0.000 0.500
Tc1 0.000 0.500 0.500
W1 0.000 0.000 0.000
W2 0.500 0.500 0.000

Results
Fermi-level density of states in states/eV/atom: 0.671
DFT formation energy in eV/atom: 0.258
Symmetry: Cmmm
Density in g cm⁻³: 13.66
Crystal system: orthorhombic

***

(6)
This record from Alexandria via LeMat-Bulk describes a relaxed BeTc2W crystal. The functional is PBE.

a = 4.929 Å, b = 5.028 Å, c = 2.688 Å
α = 77.18°, β = 84.68°, γ = 117.73°
Positions (direct):
Be1 0.500 0.500 0.000
Tc1 0.000 0.000 0.000
Tc2 0.500 0.000 0.500
W1 0.000 0.500 0.500

Results
Fermi-level density of states in states/eV/atom: 0.890
DFT formation energy in eV/atom: 0.159
Symmetry: C2/m
Density in g cm⁻³: 11.53
Crystal system: monoclinic

***

(7)
This record from Alexandria via LeMat-Bulk describes a relaxed BeTcW2 crystal. The functional is PBE.

a = 4.253 Å, b = 2.690 Å, c = 5.169 Å
α = 77.30°, β = 90.00°, γ = 90.00°
Positions (direct):
Be1 0.500 0.250 0.250
Tc1 0.500 0.750 0.750
W1 0.000 0.999 0.005
W2 0.000 0.501 0.495

Results
Fermi-level density of states in states/eV/atom: 0.755
DFT formation energy in eV/atom: 0.189
Symmetry: P2/m
Density in g cm⁻³: 13.66
Crystal system: monoclinic

***

(8)
This record from Alexandria via LeMat-Bulk describes a relaxed BeTcW2 crystal. The functional is PBE.

a = 2.708 Å, b = 2.708 Å, c = 8.090 Å
α = 90.00°, β = 90.00°, γ = 108.09°
Positions (direct):
Be1 0.000 0.000 0.505
Tc1 0.500 0.500 0.724
W1 0.000 0.000 0.995
W2 0.500 0.500 0.275

Results
Fermi-level density of states in states/eV/atom: 0.780
DFT formation energy in eV/atom: 0.115
Symmetry: Cmm2
Density in g cm⁻³: 13.98
Crystal system: orthorhombic